CaZnCuAu3: optimized geometry, GGA-PBE.

Properties
Fermi-level density of states = 3.49 states/eV per cell
Magnetic moment = 0.00 μB per atom
E_form = -253 meV per atom
ρ = 10.172 g/cm³

abc: 6.041 6.820 6.920
angles: 119.52 90.00 90.00
Element x y z (fractional)
Au: 0.750 0.841 0.682
Au: 0.250 0.159 0.318
Au: 0.500 0.716 0.000
Au: 0.000 0.716 0.000
Au: 0.000 0.284 0.000
Au: 0.500 0.284 0.000
Zn: 0.250 0.368 0.736
Zn: 0.750 0.632 0.264
Ca: 0.750 0.299 0.597
Ca: 0.250 0.701 0.403
Cu: 0.250 0.937 0.874
Cu: 0.750 0.063 0.126

Tl6Cl: optimized geometry, GGA-PBE.

Properties
Fermi-level density of states = 8.58 states/eV per cell
Magnetic moment = 0.00 μB per atom
ΔE_f (raw) = 243 meV per atom
ρ = 6.523 g/cm³

abc: 7.473 7.473 7.473
angles: 109.47 109.47 109.47
Element x y z (fractional)
Tl: 0.500 0.750 0.250
Tl: 0.250 0.750 0.500
Tl: 0.750 0.500 0.250
Tl: 0.500 0.250 0.750
Tl: 0.750 0.250 0.500
Tl: 0.250 0.500 0.750
Cl: 0.000 0.000 0.000

Question: Which of these has the highest ρ?
Answer: CaZnCuAu3

Question: What is the formula in the first record?
Answer: CaZnCuAu3

Question: Among the records above, which one has the lowest ρ?
Answer: Tl6Cl